(1)
VASP calculation (PBE) on an optimized crystal structure of CaY2I.

Summary:
As for the formation energy without anion corrections: 0.4 eV/f.u. For the excess energy over the best structure of this formula in the dataset, the calculation gives 155 meV/atom. The value obtained for the density of states at the Fermi level is 5.11 states/eV/cell.

Lattice parameters (Å, degrees): 5.688 5.688 5.688 60.00 60.00 60.00
Fractional coordinates of all 4 atoms:
1 I 0.500 0.500 0.500
2 Y 0.250 0.250 0.250
3 Y 0.750 0.750 0.750
4 Ca 0.000 0.000 0.000

=====

(2)
VASP calculation (PBE) on an optimized crystal structure of Ca3YI.

Summary:
As for the formation energy without anion corrections: 0.3 eV/f.u. For the excess energy over the best structure of this formula in the dataset, the calculation gives 0 meV/atom. The value obtained for the density of states at the Fermi level is 9.46 states/eV/cell.

Lattice parameters (Å, degrees): 5.944 5.944 5.944 90.00 90.00 90.00
Each line ends with the local moment (μB).
Fractional coordinates of all 5 atoms:
1 I 0.000 0.000 0.000  0.03
2 Y 0.500 0.500 0.500  0.35
3 Ca 0.000 0.500 0.000  0.09
4 Ca 0.000 0.000 0.500  0.14
5 Ca 0.500 0.000 0.000  0.07

=====

(3)
VASP calculation (PBE) on an optimized crystal structure of Ca2YI.

Summary:
As for the formation energy without anion corrections: -1.7 eV/f.u. For the excess energy over the best structure of this formula in the dataset, the calculation gives 41 meV/atom. The value obtained for the density of states at the Fermi level is 4.34 states/eV/cell.

Lattice parameters (Å, degrees): 3.809 3.809 9.891 90.00 90.00 90.00
Each line ends with the local moment (μB).
Fractional coordinates of all 4 atoms:
1 I 0.500 0.500 0.000  0.00
2 Y 0.500 0.500 0.500  0.19
3 Ca 0.000 0.000 0.762  0.03
4 Ca 0.000 0.000 0.238  0.03

=====

(4)
VASP calculation (PBE) on an optimized crystal structure of Ca2YZrI.

Summary:
As for the formation energy without anion corrections: 2.3 eV/f.u. For the excess energy over the best structure of this formula in the dataset, the calculation gives 0 meV/atom. The value obtained for the density of states at the Fermi level is 7.65 states/eV/cell.

Lattice parameters (Å, degrees): 5.694 5.781 5.694 90.00 90.00 90.00
Each line ends with the local moment (μB).
Fractional coordinates of all 5 atoms:
1 I 0.000 0.000 0.000  0.03
2 Y 0.000 0.500 0.000  0.01
3 Ca 0.000 0.000 0.500  0.05
4 Ca 0.500 0.000 0.000  0.04
5 Zr 0.500 0.500 0.500  1.02

=====

(5)
VASP calculation (PBE) on an optimized crystal structure of Ca2YZrI.

Summary:
As for the formation energy without anion corrections: 2.7 eV/f.u. For the excess energy over the best structure of this formula in the dataset, the calculation gives 91 meV/atom. The value obtained for the density of states at the Fermi level is 5.47 states/eV/cell.

Lattice parameters (Å, degrees): 6.044 5.511 6.044 90.00 90.00 90.00
Each line ends with the local moment (μB).
Fractional coordinates of all 5 atoms:
1 I 0.500 0.500 0.500  0.02
2 Y 0.000 0.500 0.000  0.00
3 Ca 0.000 0.000 0.500  0.06
4 Ca 0.500 0.000 0.000  0.04
5 Zr 0.000 0.000 0.000  0.35

=====

(6)
VASP calculation (PBE) on an optimized crystal structure of CaZnI3.

Summary:
As for the formation energy without anion corrections: -2.9 eV/f.u. For the excess energy over the best structure of this formula in the dataset, the calculation gives 26 meV/atom. The value obtained for the density of states at the Fermi level is 1.75 states/eV/cell.

Lattice parameters (Å, degrees): 5.615 5.615 5.615 90.00 90.00 90.00
Fractional coordinates of all 5 atoms:
1 I 0.000 0.500 0.000
2 I 0.000 0.000 0.500
3 I 0.500 0.000 0.000
4 Zn 0.000 0.000 0.000
5 Ca 0.500 0.500 0.500

=====

(7)
VASP calculation (PBE) on an optimized crystal structure of CaZn2I2.

Summary:
As for the formation energy without anion corrections: -3.0 eV/f.u. For the excess energy over the best structure of this formula in the dataset, the calculation gives 0 meV/atom. The value obtained for the density of states at the Fermi level is 1.26 states/eV/cell.

Lattice parameters (Å, degrees): 3.874 3.874 10.790 79.66 79.66 90.00
Fractional coordinates of all 5 atoms:
1 I 0.410 0.410 0.180
2 I 0.590 0.590 0.820
3 Zn 0.750 0.250 0.500
4 Zn 0.250 0.750 0.500
5 Ca 0.000 0.000 0.000

=====

(8)
VASP calculation (PBE) on an optimized crystal structure of CaZn2I2.

Summary:
As for the formation energy without anion corrections: -2.0 eV/f.u. For the excess energy over the best structure of this formula in the dataset, the calculation gives 200 meV/atom. The value obtained for the density of states at the Fermi level is 0.00 states/eV/cell.

Lattice parameters (Å, degrees): 8.180 8.180 6.321 90.00 90.00 90.00
Fractional coordinates of all 10 atoms:
1 I 0.328 0.828 0.000
2 I 0.828 0.672 0.000
3 I 0.672 0.172 0.000
4 I 0.172 0.328 0.000
5 Zn 0.121 0.621 0.500
6 Zn 0.621 0.879 0.500
7 Zn 0.879 0.379 0.500
8 Zn 0.379 0.121 0.500
9 Ca 0.000 0.000 0.000
10 Ca 0.500 0.500 0.000